Record 1
DFT (PBE+U) results for a relaxed structure of MnCrIO2.

a b c (Å): 3.892 3.892 6.180
angles (deg): 90.00 90.00 90.00
Fractional coordinates of all 5 atoms:
1 Mn 0.000 0.000 0.000
2 Cr 0.500 0.500 0.500
3 I 0.500 0.500 0.000
4 O 0.000 0.500 0.500
5 O 0.500 0.000 0.500

## Properties
Fermi-level density of states	0.51	states/eV/atom
relative energy among the computed polymorphs	4	meV/atom
E	-5.75	eV per atom
space-group type	P4/mmm, No. 123

***

Record 2
DFT (PBE+U) results for a relaxed structure of MnCrI2O.

a b c (Å): 5.837 5.837 3.732
angles (deg): 90.00 90.00 90.00
Fractional coordinates of all 5 atoms:
1 Mn 0.000 0.000 0.000
2 Cr 0.500 0.500 0.500
3 I 0.000 0.500 0.500
4 I 0.500 0.000 0.500
5 O 0.500 0.500 0.000

## Properties
Fermi-level density of states	0.29	states/eV/atom
relative energy among the computed polymorphs	0	meV/atom
E	-4.98	eV per atom
space-group type	P4/mmm, No. 123

***

Record 3
DFT (PBE+U) results for a relaxed structure of MnCr2IO8.

a b c (Å): 4.593 4.593 6.240
angles (deg): 90.58 90.58 87.74
Fractional coordinates of all 12 atoms:
1 Mn 0.000 0.000 0.000
2 Cr 0.499 0.499 0.244
3 Cr 0.501 0.501 0.756
4 I 0.000 0.000 0.500
5 O 0.188 0.188 0.267
6 O 0.193 0.193 0.728
7 O 0.300 0.700 0.500
8 O 0.303 0.697 0.000
9 O 0.697 0.303 0.000
10 O 0.700 0.300 0.500
11 O 0.807 0.807 0.272
12 O 0.812 0.812 0.733

## Properties
Fermi-level density of states	0.12	states/eV/atom
E	-6.51	eV per atom
space-group type	C2/m, No. 12

***

Record 4
DFT (PBE+U) results for a relaxed structure of MnCrIO2.

a b c (Å): 3.889 3.889 6.346
angles (deg): 90.00 90.00 90.00
Fractional coordinates of all 5 atoms:
1 Mn 0.000 0.000 0.000
2 Cr 0.500 0.500 0.500
3 I 0.000 0.000 0.500
4 O 0.000 0.500 0.000
5 O 0.500 0.000 0.000

## Properties
Fermi-level density of states	0.37	states/eV/atom
relative energy among the computed polymorphs	0	meV/atom
E	-5.76	eV per atom
space-group type	P4/mmm, No. 123

***

Record 5
DFT (PBE+U) results for a relaxed structure of MnCrIO6.

a b c (Å): 5.144 5.144 9.409
angles (deg): 90.00 90.00 120.00
Fractional coordinates of all 18 atoms:
1 Mn 0.000 0.000 0.000
2 Mn 0.000 0.000 0.500
3 Cr 0.333 0.667 0.250
4 Cr 0.667 0.333 0.750
5 I 0.333 0.667 0.750
6 I 0.667 0.333 0.250
7 O 0.015 0.367 0.637
8 O 0.015 0.648 0.863
9 O 0.352 0.367 0.863
10 O 0.352 0.985 0.637
11 O 0.367 0.015 0.137
12 O 0.367 0.352 0.363
13 O 0.633 0.648 0.637
14 O 0.633 0.985 0.863
15 O 0.648 0.015 0.363
16 O 0.648 0.633 0.137
17 O 0.985 0.352 0.137
18 O 0.985 0.633 0.363

## Properties
E	-6.25	eV per atom
space-group type	P-31c, No. 163

***

Record 6
DFT (PBE+U) results for a relaxed structure of MnCrI2O.

a b c (Å): 5.741 5.741 3.705
angles (deg): 90.00 90.00 90.00
Fractional coordinates of all 5 atoms:
1 Mn 0.000 0.000 0.000
2 Cr 0.500 0.500 0.500
3 I 0.000 0.500 0.000
4 I 0.500 0.000 0.000
5 O 0.000 0.000 0.500

## Properties
Fermi-level density of states	0.65	states/eV/atom
relative energy among the computed polymorphs	384	meV/atom
E	-4.59	eV per atom
space-group type	P4/mmm, No. 123